(1)
A relaxed structure of La9AlTl2, computed with PBE.

## Properties
The density of states at the Fermi level is 17.52 states/eV per cell. The formation energy is -0.2253 eV/atom.

Unit cell a=5.035 b=5.035 c=15.117 alpha=90.00 beta=90.00 gamma=90.00
Space group P4/mmm (No. 123)
One atom of each set of equivalent atoms:
La 0.000 0.000 0.000 (multiplicity 1)
La 0.000 0.000 0.330 (multiplicity 2)
La 0.000 0.500 0.160 (multiplicity 4)
La 0.000 0.500 0.500 (multiplicity 2)
Al 0.500 0.500 0.000 (multiplicity 1)
Tl 0.500 0.500 0.331 (multiplicity 2)


(2)
A relaxed structure of Mg3AsN, computed with PBE.

## Properties
The value obtained for the formation energy (no corrections) is -0.52 eV per atom. The density of states at the Fermi level is 0.00 states/eV per cell.

Unit cell a=6.266 b=4.266 c=6.299 alpha=90.00 beta=90.00 gamma=90.00
Space group Pmma (No. 51)
One atom of each set of equivalent atoms:
Mg 0.000 0.000 0.000 (multiplicity 2)
Mg 0.250 0.000 0.450 (multiplicity 2)
Mg 0.250 0.500 0.773 (multiplicity 2)
As 0.250 0.500 0.222 (multiplicity 2)
N 0.250 0.000 0.770 (multiplicity 2)


(3)
A relaxed structure of Sc4TlSe2, computed with PBE.

## Properties
The value obtained for the formation energy (no corrections) is -0.97 eV per atom. The density of states at the Fermi level is 20.42 states/eV per cell.

Unit cell a=3.6683 b=3.6683 c=41.0684 alpha=90.00 beta=90.00 gamma=120.00
Space group R-3m (No. 166, hexagonal axes)
One atom of each set of equivalent atoms:
Sc 0.0000 0.0000 0.1361 (multiplicity 6)
Sc 0.0000 0.0000 0.2787 (multiplicity 6)
Tl 0.0000 0.0000 0.0000 (multiplicity 3)
Se 0.0000 0.0000 0.4276 (multiplicity 6)